# 1
NaCoCuO4 | PBE+U | optimized geometry

calculated total energy: -5.070 eV/atom
spin magnetization: 2.98 μB per formula unit
DOS(E_F): 0.368 states/eV per atom

Lattice parameters (Å, degrees): 5.2918 5.2918 7.6661 90.00 90.00 90.00
Space group I-4 (No. 82)
Asymmetric unit:
Na 0.0000 0.0000 0.0000 [2 per cell]
Co 0.0000 0.5000 0.7500 [2 per cell]
Cu 0.0000 0.0000 0.5000 [2 per cell]
O 0.1458 0.2743 0.6179 [8 per cell]

=====

# 2
NaCo2CuO4 | PBE+U | optimized geometry

calculated total energy: -5.363 eV/atom
spin magnetization: 7.85 μB per formula unit
DOS(E_F): 0.490 states/eV per atom

Lattice parameters (Å, degrees): 4.6145 4.6145 9.4289 90.00 90.00 90.00
Space group I-42m (No. 121)
Asymmetric unit:
Na 0.0000 0.0000 0.0000 [2 per cell]
Co 0.0000 0.5000 0.2500 [4 per cell]
Cu 0.0000 0.0000 0.5000 [2 per cell]
O 0.2239 0.2239 0.3561 [8 per cell]

=====

# 3
Na2CoCuO4 | PBE+U | optimized geometry

calculated total energy: -4.823 eV/atom
spin magnetization: 6.00 μB per formula unit
DOS(E_F): 0.385 states/eV per atom

Lattice parameters (Å, degrees): 5.9799 5.9799 5.3222 90.00 90.00 90.00
Space group I-42m (No. 121)
Asymmetric unit:
Na 0.0000 0.5000 0.0000 [4 per cell]
Co 0.0000 0.0000 0.0000 [2 per cell]
Cu 0.0000 0.0000 0.5000 [2 per cell]
O 0.1629 0.1629 0.7726 [8 per cell]

=====

Q: Which value of calculated total energy does entry 3 give?
A: -4.823 eV/atom